[1]
Computed, not measured: a geometry-optimized ZrTaCu2Cl structure at the GGA-PBE level of DFT.

Calculated total energy ... -5.013 eV/atom
ΔE_f (raw) ... 1075 meV per atom
Space group ... P4/mmm (123)

Unit cell a=4.833 b=5.121 c=4.833 alpha=90.00 beta=90.00 gamma=90.00
Fractional coordinates of all 5 atoms:
Cu 0.000 0.000 0.500
Zr 0.000 0.500 0.000
Cu 0.500 0.000 0.000
Cl 0.500 0.500 0.500
Ta 0.000 0.000 0.000

***

[2]
Computed, not measured: a geometry-optimized PmH8PdPt2 structure at the GGA-PBE level of DFT.

Calculated total energy ... -4.262 eV/atom
Space group ... R-3 (148)

Unit cell a=4.783 b=4.783 c=6.319 alpha=67.76 beta=67.76 gamma=60.00
Fractional coordinates of all 12 atoms:
Pm 0.500 0.500 0.500
Pd 0.000 0.000 0.000
H 0.270 0.918 0.173
Pt 0.733 0.733 0.802
H 0.361 0.730 0.827
H 0.730 0.082 0.827
H 0.827 0.827 0.518
H 0.173 0.173 0.482
H 0.639 0.270 0.173
Pt 0.267 0.267 0.198
H 0.082 0.361 0.827
H 0.918 0.639 0.173

***

[3]
Computed, not measured: a geometry-optimized BaPt2Br structure at the GGA-PBE level of DFT.

Calculated total energy ... -4.390 eV/atom
Polymorph energy (0 for the lowest one) ... 143 meV per atom
ΔE_f (raw) ... -470 meV per atom
Space group ... C2/m (12)

Unit cell a=6.202 b=6.202 c=5.452 alpha=107.39 beta=107.39 gamma=41.85
Fractional coordinates of all 4 atoms:
Pt 0.040 0.040 0.845
Ba 0.750 0.750 0.750
Br 0.250 0.250 0.250
Pt 0.460 0.460 0.655

***

[4]
Computed, not measured: a geometry-optimized FeSb structure at the GGA-PBE level of DFT.

Calculated total energy ... -6.174 eV/atom
ΔE_f (raw) ... 119 meV per atom
Space group ... P6_3/mmc (194)

Unit cell a=3.997 b=3.997 c=12.053 alpha=90.00 beta=90.00 gamma=120.00
Fractional coordinates of all 8 atoms:
Fe 0.667 0.333 0.250
Fe 0.000 0.000 0.750
Sb 0.333 0.667 0.382
Sb 0.333 0.667 0.118
Sb 0.667 0.333 0.618
Fe 0.000 0.000 0.250
Fe 0.333 0.667 0.750
Sb 0.667 0.333 0.882

***

What did the first record say?
Computed, not measured: a geometry-optimized ZrTaCu2Cl structure at the GGA-PBE level of DFT.

Calculated total energy ... -5.013 eV/atom
ΔE_f (raw) ... 1075 meV per atom
Space group ... P4/mmm (123)

Unit cell a=4.833 b=5.121 c=4.833 alpha=90.00 beta=90.00 gamma=90.00
Fractional coordinates of all 5 atoms:
Cu 0.000 0.000 0.500
Zr 0.000 0.500 0.000
Cu 0.500 0.000 0.000
Cl 0.500 0.500 0.500
Ta 0.000 0.000 0.000